Material: RbCd2AgSn
Method: DFT, PBE
State: relaxed

Summary:
Calculated total energy = -9.22 eV for the cell shown
Energy of formation = 0.436 eV per formula unit

Lattice parameters (Å, degrees): 5.4874 5.4874 5.4362 90.00 90.00 90.00
Last column: nearest neighbours and their distance in Å.
Fractional positions:
Rb 0.0000 0.0000 0.0000  8 Cd 3.86, 4 Sn 3.88
Cd 0.0000 0.5000 0.5000  2 Ag 2.74
Cd 0.5000 0.0000 0.5000  2 Ag 2.74
Ag 0.5000 0.5000 0.5000  2 Sn 2.72, 4 Cd 2.74
Sn 0.5000 0.5000 0.0000  2 Ag 2.72

Material: RbCdAgSn2
Method: DFT, PBE
State: relaxed

Summary:
Calculated total energy = -26.45 eV for the cell shown
Energy of formation = -0.486 eV per formula unit

Lattice parameters (Å, degrees): 4.9889 4.9889 11.9381 90.00 90.00 90.00
Last column: nearest neighbours and their distance in Å.
Fractional positions:
Rb 0.0000 0.0000 0.0000  8 Sn 3.82, 4 Cd 3.89, 4 Ag 3.89
Rb 0.5000 0.5000 0.5000  8 Sn 3.82, 4 Cd 3.89, 4 Ag 3.89
Cd 0.0000 0.5000 0.2500  4 Sn 2.92
Cd 0.5000 0.0000 0.7500  4 Sn 2.92
Ag 0.0000 0.5000 0.7500  4 Sn 2.92
Ag 0.5000 0.0000 0.2500  4 Sn 2.92
Sn 0.0000 0.0000 0.3773  2 Cd 2.92, 2 Ag 2.92, 1 Sn 2.93
Sn 0.0000 0.0000 0.6227  2 Cd 2.92, 2 Ag 2.92, 1 Sn 2.93
Sn 0.5000 0.5000 0.1227  2 Cd 2.92, 2 Ag 2.92, 1 Sn 2.93
Sn 0.5000 0.5000 0.8773  2 Cd 2.92, 2 Ag 2.92, 1 Sn 2.93

Material: Rb2TlCd12Ag3
Method: DFT, PBE
State: relaxed

Summary:
Calculated total energy = -20.76 eV for the cell shown
Energy of formation = 3.075 eV per formula unit

Lattice parameters (Å, degrees): 9.0813 9.0813 9.0813 66.22 66.22 66.22
Last column: nearest neighbours and their distance in Å.
Fractional positions:
Rb 0.0897 0.0897 0.0897  6 Cd 3.64-3.87, 1 Rb 3.79
Rb 0.9103 0.9103 0.9103  6 Cd 3.64-3.87, 1 Rb 3.79
Tl 0.5000 0.5000 0.5000  6 Cd 2.98
Cd 0.1311 0.6375 0.6375  1 Ag 2.86, 1 Tl 2.98, 4 Cd 3.01-3.19
Cd 0.1649 0.1649 0.5008  2 Ag 2.80, 2 Cd 3.01
Cd 0.1649 0.5008 0.1649  2 Ag 2.80, 2 Cd 3.01
Cd 0.3625 0.3625 0.8689  1 Ag 2.86, 1 Tl 2.98, 4 Cd 3.01-3.19
Cd 0.3625 0.8689 0.3625  1 Ag 2.86, 1 Tl 2.98, 4 Cd 3.01-3.19
Cd 0.4992 0.8351 0.8351  2 Ag 2.80, 2 Cd 3.01
Cd 0.5008 0.1649 0.1649  2 Ag 2.80, 2 Cd 3.01
Cd 0.6375 0.1311 0.6375  1 Ag 2.86, 1 Tl 2.98, 4 Cd 3.01-3.19
Cd 0.6375 0.6375 0.1311  1 Ag 2.86, 1 Tl 2.98, 4 Cd 3.01-3.19
Cd 0.8351 0.4992 0.8351  2 Ag 2.80, 2 Cd 3.01
Cd 0.8351 0.8351 0.4992  2 Ag 2.80, 2 Cd 3.01
Cd 0.8689 0.3625 0.3625  1 Ag 2.86, 1 Tl 2.98, 4 Cd 3.01-3.19
Ag 0.0000 0.5000 0.5000  6 Cd 2.80-2.86
Ag 0.5000 0.0000 0.5000  6 Cd 2.80-2.86
Ag 0.5000 0.5000 0.0000  6 Cd 2.80-2.86

Material: RbTlCd2Ag
Method: DFT, PBE
State: relaxed

Summary:
Calculated total energy = -7.73 eV for the cell shown
Energy of formation = 0.284 eV per formula unit

Lattice parameters (Å, degrees): 5.4866 5.4866 5.6547 90.00 90.00 90.00
Last column: nearest neighbours and their distance in Å.
Fractional positions:
Rb 0.0000 0.0000 0.0000  4 Tl 3.88, 8 Cd 3.94
Tl 0.5000 0.5000 0.0000  2 Ag 2.83
Cd 0.0000 0.5000 0.5000  2 Ag 2.74
Cd 0.5000 0.0000 0.5000  2 Ag 2.74
Ag 0.5000 0.5000 0.5000  4 Cd 2.74, 2 Tl 2.83

Material: Rb2Tl6CdAg
Method: DFT, PBE
State: relaxed

Summary:
Calculated total energy = -39.38 eV for the cell shown
Energy of formation = 0.207 eV per formula unit

Lattice parameters (Å, degrees): 14.2341 14.2341 14.2341 31.98 31.98 31.98
Last column: nearest neighbours and their distance in Å.
Fractional positions:
Rb 0.1028 0.1028 0.1028  12 Tl 4.01-4.21, 1 Ag 4.16
Rb 0.2778 0.2778 0.2778  12 Tl 3.81-4.09
Rb 0.7222 0.7222 0.7222  12 Tl 3.81-4.09
Rb 0.8972 0.8972 0.8972  12 Tl 4.01-4.21, 1 Ag 4.16
Tl 0.0806 0.6659 0.6659  1 Ag 2.90, 1 Cd 3.20
Tl 0.2237 0.2237 0.6383  1 Ag 2.89, 1 Cd 3.22
Tl 0.2237 0.6383 0.2237  1 Ag 2.89, 1 Cd 3.22
Tl 0.3341 0.3341 0.9194  1 Ag 2.90, 1 Cd 3.20
Tl 0.3341 0.9194 0.3341  1 Ag 2.90, 1 Cd 3.20
Tl 0.3617 0.7763 0.7763  1 Ag 2.89, 1 Cd 3.22
Tl 0.6383 0.2237 0.2237  1 Ag 2.89, 1 Cd 3.22
Tl 0.6659 0.0806 0.6659  1 Ag 2.90, 1 Cd 3.20
Tl 0.6659 0.6659 0.0806  1 Ag 2.90, 1 Cd 3.20
Tl 0.7763 0.3617 0.7763  1 Ag 2.89, 1 Cd 3.22
Tl 0.7763 0.7763 0.3617  1 Ag 2.89, 1 Cd 3.22
Tl 0.9194 0.3341 0.3341  1 Ag 2.90, 1 Cd 3.20
Cd 0.4265 0.4265 0.4265  1 Ag 2.98, 6 Tl 3.20-3.22
Cd 0.5735 0.5735 0.5735  1 Ag 2.98, 6 Tl 3.20-3.22
Ag 0.0000 0.0000 0.0000  6 Tl 2.89
Ag 0.5000 0.5000 0.5000  6 Tl 2.90, 2 Cd 2.98

Material: Rb2TlCd2Ag
Method: DFT, PBE
State: relaxed

Summary:
Calculated total energy = -18.30 eV for the cell shown
Energy of formation = -0.169 eV per formula unit

Lattice parameters (Å, degrees): 9.6176 9.6176 9.6176 134.54 67.85 132.49
Last column: nearest neighbours and their distance in Å.
Fractional positions:
Rb 0.1673 0.2428 0.4101  2 Ag 3.76, 6 Cd 3.76-4.15, 2 Tl 3.81
Rb 0.3327 0.7428 0.0754  2 Ag 3.76, 6 Cd 3.76-4.15, 2 Tl 3.81
Rb 0.6673 0.2572 0.9246  2 Ag 3.76, 6 Cd 3.76-4.15, 2 Tl 3.81
Rb 0.8327 0.7572 0.5899  2 Ag 3.76, 6 Cd 3.76-4.15, 2 Tl 3.81
Tl 0.2500 0.7500 0.5000  4 Cd 3.09
Tl 0.7500 0.2500 0.5000  4 Cd 3.09
Cd 0.0824 0.7705 0.8529  2 Ag 2.90, 2 Tl 3.09
Cd 0.4176 0.2705 0.6881  2 Ag 2.90, 2 Tl 3.09
Cd 0.5824 0.7295 0.3119  2 Ag 2.90, 2 Tl 3.09
Cd 0.9176 0.2295 0.1471  2 Ag 2.90, 2 Tl 3.09
Ag 0.2500 0.2500 0.0000  4 Cd 2.90
Ag 0.7500 0.7500 0.0000  4 Cd 2.90

Material: RbTl6CdAg
Method: DFT, PBE
State: relaxed

Summary:
Calculated total energy = -36.18 eV for the cell shown
Energy of formation = 0.840 eV per formula unit

Lattice parameters (Å, degrees): 10.9852 10.9852 10.9852 146.52 113.09 76.93
Last column: nearest neighbours and their distance in Å.
Fractional positions:
Rb 0.3641 0.1141 0.2500  5 Tl 3.63-3.79
Rb 0.6359 0.8859 0.7500  5 Tl 3.63-3.79
Tl 0.1320 0.4108 0.2257  1 Ag 3.13, 4 Tl 3.14-3.31, 1 Cd 3.16
Tl 0.1320 0.9063 0.7212  1 Ag 3.13, 4 Tl 3.14-3.31, 1 Cd 3.16
Tl 0.1528 0.9028 0.2500  2 Ag 3.07, 6 Tl 3.28-3.31
Tl 0.2035 0.4535 0.7500  2 Cd 3.13, 2 Tl 3.28
Tl 0.3149 0.0937 0.7257  1 Ag 3.13, 4 Tl 3.14-3.31, 1 Cd 3.16
Tl 0.3149 0.5892 0.2212  1 Ag 3.13, 4 Tl 3.14-3.31, 1 Cd 3.16
Tl 0.6851 0.4108 0.7788  1 Ag 3.13, 4 Tl 3.14-3.31, 1 Cd 3.16
Tl 0.6851 0.9063 0.2743  1 Ag 3.13, 4 Tl 3.14-3.31, 1 Cd 3.16
Tl 0.7965 0.5465 0.2500  2 Cd 3.13, 2 Tl 3.28
Tl 0.8472 0.0972 0.7500  2 Ag 3.07, 6 Tl 3.28-3.31
Tl 0.8680 0.0937 0.2788  1 Ag 3.13, 4 Tl 3.14-3.31, 1 Cd 3.16
Tl 0.8680 0.5892 0.7743  1 Ag 3.13, 4 Tl 3.14-3.31, 1 Cd 3.16
Cd 0.0000 0.5000 0.5000  6 Tl 3.13-3.16
Cd 0.5000 0.5000 0.0000  6 Tl 3.13-3.16
Ag 0.0000 0.0000 0.5000  6 Tl 3.07-3.13, 2 Ag 3.16
Ag 0.0000 0.5000 0.0000  6 Tl 3.07-3.13, 2 Ag 3.16

Material: RbTlCdAg
Method: DFT, PBE
State: relaxed

Summary:
Calculated total energy = -21.74 eV for the cell shown
Energy of formation = -0.147 eV per formula unit

Lattice parameters (Å, degrees): 4.9844 4.9844 19.3657 90.00 90.00 120.00
Last column: nearest neighbours and their distance in Å.
Fractional positions:
Rb 0.0000 0.0000 0.0000  4 Ag 3.73-3.96, 4 Tl 3.86-3.88, 3 Cd 3.94
Rb 0.3333 0.6667 0.6667  4 Ag 3.73-3.96, 4 Tl 3.86-3.88, 3 Cd 3.94
Rb 0.6667 0.3333 0.3333  4 Ag 3.73-3.96, 4 Tl 3.86-3.88, 3 Cd 3.94
Tl 0.0000 0.0000 0.1991  3 Ag 3.09, 3 Cd 3.11
Tl 0.3333 0.6667 0.8658  3 Ag 3.09, 3 Cd 3.11
Tl 0.6667 0.3333 0.5324  3 Ag 3.09, 3 Cd 3.11
Cd 0.0000 0.0000 0.4720  3 Ag 2.88, 3 Tl 3.11
Cd 0.3333 0.6667 0.1386  3 Ag 2.88, 3 Tl 3.11
Cd 0.6667 0.3333 0.8053  3 Ag 2.88, 3 Tl 3.11
Ag 0.0000 0.0000 0.8074  3 Cd 2.88, 3 Tl 3.09
Ag 0.3333 0.6667 0.4741  3 Cd 2.88, 3 Tl 3.09
Ag 0.6667 0.3333 0.1407  3 Cd 2.88, 3 Tl 3.09

Material: RbCdAg2W
Method: DFT, PBE
State: relaxed

Summary:
Calculated total energy = -15.23 eV for the cell shown
Energy of formation = 5.304 eV per formula unit

Lattice parameters (Å, degrees): 5.4010 5.4010 5.4777 90.00 90.00 90.00
Last column: nearest neighbours and their distance in Å.
Fractional positions:
Rb 0.0000 0.0000 0.0000  4 Cd 3.82, 8 Ag 3.85
Cd 0.5000 0.5000 0.0000  2 W 2.74
Ag 0.0000 0.5000 0.5000  2 W 2.70
Ag 0.5000 0.0000 0.5000  2 W 2.70
W 0.5000 0.5000 0.5000  4 Ag 2.70, 2 Cd 2.74

Material: RbZnCd2Ag
Method: DFT, PBE
State: relaxed

Summary:
Calculated total energy = -6.46 eV for the cell shown
Excess energy over the best structure of this formula in the dataset = 17.0 meV/atom
Energy of formation = 0.458 eV per formula unit

Lattice parameters (Å, degrees): 5.2477 5.2477 5.2732 90.00 90.00 90.00
Last column: nearest neighbours and their distance in Å.
Fractional positions:
Rb 0.0000 0.0000 0.0000  4 Ag 3.71, 8 Cd 3.72
Zn 0.5000 0.5000 0.5000  4 Cd 2.62, 2 Ag 2.64
Cd 0.0000 0.5000 0.5000  2 Zn 2.62
Cd 0.5000 0.0000 0.5000  2 Zn 2.62
Ag 0.5000 0.5000 0.0000  2 Zn 2.64

Material: RbZnCdAg2
Method: DFT, PBE
State: relaxed

Summary:
Calculated total energy = -8.24 eV for the cell shown
Energy of formation = 0.619 eV per formula unit

Lattice parameters (Å, degrees): 5.2187 5.2187 5.1789 90.00 90.00 90.00
Last column: nearest neighbours and their distance in Å.
Fractional positions:
Rb 0.0000 0.0000 0.0000  8 Ag 3.68, 4 Cd 3.69
Zn 0.5000 0.5000 0.5000  2 Cd 2.59, 4 Ag 2.61
Cd 0.5000 0.5000 0.0000  2 Zn 2.59
Ag 0.0000 0.5000 0.5000  2 Zn 2.61
Ag 0.5000 0.0000 0.5000  2 Zn 2.61

Material: RbZnCd2Ag
Method: DFT, PBE
State: relaxed

Summary:
Calculated total energy = -6.55 eV for the cell shown
Excess energy over the best structure of this formula in the dataset = 0.0 meV/atom
Energy of formation = 0.373 eV per formula unit

Lattice parameters (Å, degrees): 5.4793 5.4793 5.1300 90.00 90.00 90.00
Last column: nearest neighbours and their distance in Å.
Fractional positions:
Rb 0.0000 0.0000 0.0000  8 Cd 3.75, 4 Zn 3.87
Zn 0.5000 0.5000 0.0000  2 Ag 2.56
Cd 0.0000 0.5000 0.5000  2 Ag 2.74
Cd 0.5000 0.0000 0.5000  2 Ag 2.74
Ag 0.5000 0.5000 0.5000  2 Zn 2.56, 4 Cd 2.74